<w>
Pr2TmCd, relaxed, DFT PBE-GGA; volume = 31.3 Å³ per atom
1.0
3.7324 0.0000 0.0000
0.0000 3.7324 0.0000
0.0000 0.0000 8.9999
Pr Tm Cd
2 1 1
direct
0.0000 0.0000 0.2309
0.0000 0.0000 0.7691
0.5000 0.5000 0.5000
0.5000 0.5000 0.0000

***

<x>
Pr2TmCd, relaxed, DFT PBE-GGA; volume = 31.0 Å³ per atom
1.0
5.2494 0.0000 0.0000
0.0000 5.2494 0.0000
0.0000 0.0000 8.9938
Pr Tm Cd
4 2 2
direct
0.2500 0.2500 0.2220
0.2500 0.7500 0.5000
0.7500 0.2500 0.5000
0.7500 0.7500 0.7780
0.2500 0.2500 0.7817
0.7500 0.7500 0.2183
0.2500 0.7500 0.0000
0.7500 0.2500 0.0000

***

<y>
Pr2TmCd, relaxed, DFT PBE-GGA; volume = 32.1 Å³ per atom
1.0
1.8298 1.0564 11.0669
-1.8298 1.0564 11.0669
0.0000 -2.1129 11.0669
Pr Tm Cd
2 1 1
direct
0.0000 0.0000 0.0000
0.1732 0.1732 0.1732
0.7535 0.7535 0.7535
0.5866 0.5866 0.5866

***

<z>
Pr2TmCd, relaxed, DFT PBE-GGA; volume = 30.6 Å³ per atom
1.0
0.0000 3.9412 3.9412
3.9412 0.0000 3.9412
3.9412 3.9412 0.0000
Pr Tm Cd
2 1 1
direct
0.2500 0.2500 0.2500
0.7500 0.7500 0.7500
0.0000 0.0000 0.0000
0.5000 0.5000 0.5000

***

Most stable structure - <x>; separation to the second - 15 meV/atom.

***

<w>
Pr6Tm2Cd, relaxed, DFT PBE-GGA; volume = 33.1 Å³ per atom
1.0
4.1061 -4.7648 0.0000
4.1061 4.7648 0.0000
-1.2513 0.0000 15.2344
Pr Tm Cd
12 4 2
direct
0.1151 0.7764 0.9683
0.2028 0.4266 0.6598
0.2236 0.8849 0.5317
0.2889 0.3838 0.4138
0.3838 0.2889 0.9138
0.4266 0.2028 0.1598
0.5734 0.7972 0.8402
0.6162 0.7111 0.0862
0.7111 0.6162 0.5862
0.7764 0.1151 0.4683
0.7972 0.5734 0.3402
0.8849 0.2236 0.0317
0.1092 0.6071 0.1775
0.3929 0.8908 0.3225
0.6071 0.1092 0.6775
0.8908 0.3929 0.8225
0.0758 0.9242 0.7500
0.9242 0.0758 0.2500

***

<x>
Pr6Tm2Cd, relaxed, DFT PBE-GGA; volume = 33.4 Å³ per atom
1.0
10.5581 0.0000 0.0000
0.0000 10.5581 0.0000
0.0000 0.0000 5.3908
Pr Tm Cd
12 4 2
direct
0.0290 0.3242 0.0000
0.1341 0.8659 0.5000
0.1758 0.5290 0.5000
0.3242 0.0290 0.0000
0.3659 0.3659 0.0000
0.4710 0.8242 0.5000
0.5290 0.1758 0.5000
0.6341 0.6341 0.0000
0.6758 0.9710 0.0000
0.8242 0.4710 0.5000
0.8659 0.1341 0.5000
0.9710 0.6758 0.0000
0.2006 0.2006 0.5000
0.2994 0.7006 0.0000
0.7006 0.2994 0.0000
0.7994 0.7994 0.5000
0.0000 0.0000 0.0000
0.5000 0.5000 0.5000

***

Most stable structure - <x>; separation to the second - 68 meV/atom.

***

<w>
PrTm3Cd2, relaxed, DFT PBE-GGA; volume = 28.5 Å³ per atom
1.0
7.8811 -2.7154 0.0000
7.8811 2.7154 0.0000
-3.9210 0.0000 7.9845
Pr Tm Cd
2 6 4
direct
0.1353 0.1353 0.1823
0.8647 0.8647 0.8177
0.0622 0.0622 0.7215
0.3074 0.3074 0.0077
0.3834 0.3834 0.4572
0.6166 0.6166 0.5428
0.6926 0.6926 0.9923
0.9378 0.9378 0.2785
0.2318 0.2318 0.6046
0.4816 0.4816 0.8295
0.5184 0.5184 0.1705
0.7682 0.7682 0.3954

***

<x>
PrTm3Cd2, relaxed, DFT PBE-GGA; volume = 28.0 Å³ per atom
1.0
3.6644 0.0000 0.0000
0.0000 3.6644 0.0000
0.0000 0.0000 12.5127
Pr Tm Cd
1 3 2
direct
0.0000 0.0000 0.0000
0.5000 0.5000 0.2006
0.5000 0.5000 0.5000
0.5000 0.5000 0.7994
0.0000 0.0000 0.3509
0.0000 0.0000 0.6491

***

Most stable structure - <x>; separation to the second - 62 meV/atom.